[1]
PBE-GGA Ba3NaSr8, optimized geometry; total moment = 0.00 μB/cell; space-group type = P1; energy of formation from the pure elements = 19 meV/atom; theoretical density = 2.8 g/cm3
1.0
6.7957 0.0000 0.0000
-0.0125 8.3462 0.0000
-0.0036 -4.0757 11.7227
Ba Na Sr
3 1 8
Direct
0.0000 0.0000 0.0000 Ba
0.0007 0.8206 0.3324 Ba
0.5009 0.4112 0.1627 Ba
0.5004 0.2343 0.4963 Na
0.9995 0.1746 0.6627 Sr
0.0009 0.3268 0.3447 Sr
0.0009 0.4981 0.9930 Sr
0.0008 0.6803 0.6697 Sr
0.4997 0.0734 0.8283 Sr
0.5004 0.9137 0.1684 Sr
0.5008 0.5713 0.8238 Sr
0.5008 0.7377 0.5016 Sr

***

[2]
PBE-GGA CeNb5, optimized geometry; total moment = 0.00 μB/cell; space-group type = Cmmm; energy of formation from the pure elements = 144 meV/atom; theoretical density = 8.7 g/cm3
1.0
2.4122 -7.1790 0.0000
2.4122 7.1790 0.0000
0.0000 0.0000 3.3382
Ce Nb
1 5
Direct
0.0000 0.0000 0.0000 Ce
0.1691 0.8309 0.5000 Nb
0.3281 0.6719 0.0000 Nb
0.5000 0.5000 0.5000 Nb
0.6719 0.3281 0.0000 Nb
0.8309 0.1691 0.5000 Nb

***

[3]
PBE-GGA SrAgI3, optimized geometry; energy relative to the elements, uncorrected = -1081 meV per atom; total moment = 0.00 μB/cell; space-group type = P2_1/c; polymorph energy (0 for the lowest one) = 0.017 eV per atom; theoretical density = 4.8 g/cm3
1.0
7.8362 0.0000 0.0000
0.0000 8.4874 0.0000
-6.5544 0.0000 11.8726
Sr Ag I
4 4 12
Direct
0.1648 0.1196 0.2156 Sr
0.1648 0.3804 0.7156 Sr
0.8352 0.6196 0.2844 Sr
0.8352 0.8804 0.7844 Sr
0.1702 0.6075 0.0845 Ag
0.1702 0.8925 0.5845 Ag
0.8298 0.1075 0.4155 Ag
0.8298 0.3925 0.9155 Ag
0.1225 0.1799 0.9416 I
0.1225 0.3201 0.4416 I
0.2395 0.6656 0.9028 I
0.2395 0.8344 0.4028 I
0.4364 0.0580 0.7712 I
0.4364 0.4420 0.2712 I
0.5636 0.5580 0.7288 I
0.5636 0.9420 0.2288 I
0.7605 0.1656 0.5972 I
0.7605 0.3344 0.0972 I
0.8775 0.6799 0.5584 I
0.8775 0.8201 0.0584 I

***

[4]
PBE-GGA Rb2AgHF6, optimized geometry; total moment = 0.48 μB/cell; electronic total energy = -35.3 eV per cell; space-group type = I4/mmm; theoretical density = 4.4 g/cm3
1.0
-2.7705 2.7705 4.8878
2.7705 -2.7705 4.8878
2.7705 2.7705 -4.8878
Rb Ag H F
2 1 1 6
Direct
0.2500 0.7500 0.5000 Rb
0.7500 0.2500 0.5000 Rb
0.0000 0.0000 0.0000 Ag
0.5000 0.5000 0.0000 H
0.2063 0.2063 0.0000 F
0.2835 0.2835 0.5670 F
0.2835 0.7165 0.0000 F
0.7165 0.2835 0.0000 F
0.7165 0.7165 0.4330 F
0.7937 0.7937 0.0000 F

***

[5]
PBE-GGA Y12Re3O5, optimized geometry; energy relative to the elements, uncorrected = -1341 meV per atom; total moment = 0.00 μB/cell; space-group type = Ia-3d; theoretical density = 6.4 g/cm3
1.0
-7.6140 7.6140 7.6140
7.6140 -7.6140 7.6140
7.6140 7.6140 -7.6140
Y Re O
48 12 20
Direct
0.0240 0.2068 0.1221 Y
0.0240 0.3172 0.9019 Y
0.0848 0.7068 0.6828 Y
0.0848 0.8779 0.4019 Y
0.0981 0.6221 0.4152 Y
0.0981 0.9760 0.6828 Y
0.1221 0.0240 0.2068 Y
0.1221 0.5981 0.9152 Y
0.1828 0.2068 0.5848 Y
0.1828 0.4760 0.5981 Y
0.2068 0.1221 0.0240 Y
0.2068 0.5848 0.1828 Y
0.2932 0.3172 0.9152 Y
0.2932 0.4760 0.3779 Y
0.3172 0.9019 0.0240 Y
0.3172 0.9152 0.2932 Y
0.3779 0.2932 0.4760 Y
0.3779 0.5848 0.9019 Y
0.4019 0.0848 0.8779 Y
0.4019 0.8172 0.5240 Y
0.4152 0.0981 0.6221 Y
0.4152 0.8172 0.7932 Y
0.4760 0.3779 0.2932 Y
0.4760 0.5981 0.1828 Y
0.5240 0.4019 0.8172 Y
0.5240 0.6221 0.7068 Y
0.5848 0.1828 0.2068 Y
0.5848 0.9019 0.3779 Y
0.5981 0.1828 0.4760 Y
0.5981 0.9152 0.1221 Y
0.6221 0.4152 0.0981 Y
0.6221 0.7068 0.5240 Y
0.6828 0.0848 0.7068 Y
0.6828 0.0981 0.9760 Y
0.7068 0.5240 0.6221 Y
0.7068 0.6828 0.0848 Y
0.7932 0.4152 0.8172 Y
0.7932 0.8779 0.9760 Y
0.8172 0.5240 0.4019 Y
0.8172 0.7932 0.4152 Y
0.8779 0.4019 0.0848 Y
0.8779 0.9760 0.7932 Y
0.9019 0.0240 0.3172 Y
0.9019 0.3779 0.5848 Y
0.9152 0.1221 0.5981 Y
0.9152 0.2932 0.3172 Y
0.9760 0.6828 0.0981 Y
0.9760 0.7932 0.8779 Y
0.1250 0.2500 0.3750 Re
0.1250 0.3750 0.7500 Re
0.2500 0.3750 0.1250 Re
0.2500 0.8750 0.6250 Re
0.3750 0.1250 0.2500 Re
0.3750 0.7500 0.1250 Re
0.6250 0.2500 0.8750 Re
0.6250 0.8750 0.7500 Re
0.7500 0.1250 0.3750 Re
0.7500 0.6250 0.8750 Re
0.8750 0.6250 0.2500 Re
0.8750 0.7500 0.6250 Re
0.0000 0.0000 0.0000 O
0.0000 0.0000 0.5000 O
0.0000 0.5000 0.0000 O
0.0000 0.5000 0.5000 O
0.1250 0.7500 0.8750 O
0.1250 0.8750 0.2500 O
0.2500 0.1250 0.8750 O
0.2500 0.6250 0.3750 O
0.3750 0.2500 0.6250 O
0.3750 0.6250 0.7500 O
0.5000 0.0000 0.0000 O
0.5000 0.0000 0.5000 O
0.5000 0.5000 0.0000 O
0.5000 0.5000 0.5000 O
0.6250 0.3750 0.2500 O
0.6250 0.7500 0.3750 O
0.7500 0.3750 0.6250 O
0.7500 0.8750 0.1250 O
0.8750 0.1250 0.7500 O
0.8750 0.2500 0.1250 O

***

[6]
PBE-GGA PmTh2Sc6, optimized geometry; total moment = 0.00 μB/cell; space-group type = C2/c; energy of formation from the pure elements = 117 meV/atom; polymorph energy (0 for the lowest one) = 0.000 eV per atom; theoretical density = 5.9 g/cm3
1.0
4.6640 -8.2169 0.0000
4.6640 8.2169 0.0000
-0.0302 0.0000 6.4626
Pm Th Sc
2 4 12
Direct
0.0366 0.9634 0.7500 Pm
0.9634 0.0366 0.2500 Pm
0.3280 0.3560 0.6278 Th
0.3560 0.3280 0.1278 Th
0.6440 0.6720 0.8722 Th
0.6720 0.6440 0.3722 Th
0.0006 0.3813 0.3427 Sc
0.0097 0.7022 0.1429 Sc
0.2863 0.6432 0.0024 Sc
0.2978 0.9903 0.3571 Sc
0.3568 0.7137 0.4976 Sc
0.3813 0.0006 0.8427 Sc
0.6187 0.9994 0.1573 Sc
0.6432 0.2863 0.5024 Sc
0.7022 0.0097 0.6429 Sc
0.7137 0.3568 0.9976 Sc
0.9903 0.2978 0.8571 Sc
0.9994 0.6187 0.6573 Sc